Computed, not measured: a geometry-optimized Tl2H2Pd2Pt structure at the PBE-GGA level of DFT.

E_tot: -28.3 eV for the cell shown
Calculated volume: 14.7 Å³/atom

Lattice parameters (Å, degrees): 3.813 5.393 5.716 77.91 70.52 69.30
Fractional coordinates of all 7 atoms:
Tl: 0.422 0.795 0.360
Tl: 0.578 0.205 0.640
Pd: 0.803 0.611 0.783
Pd: 0.197 0.389 0.217
Pt: 0.000 0.000 0.000
H: 0.798 0.332 0.072
H: 0.202 0.668 0.928